# KScRe2 PBE relaxed
# Relative energy among the computed polymorphs in meV/atom: 429
# Calculated formation energy in eV/atom: 0.889
data_KScRe2
_chemical_formula_sum 'K1 Sc1 Re2'
_symmetry_space_group_name_H-M 'P 4/m m m'
_symmetry_Int_Tables_number 123
_symmetry_space_group_name_Hall '-P 4 2'
_cell_length_a 3.603
_cell_length_b 3.603
_cell_length_c 7.648
_cell_angle_alpha 90.00
_cell_angle_beta 90.00
_cell_angle_gamma 90.00
loop_
_atom_site_label
_atom_site_fract_x
_atom_site_fract_y
_atom_site_fract_z
K1 0.000 0.000 0.000
Sc1 0.000 0.000 0.500
Re1 0.500 0.500 0.352



# KScRe PBE relaxed
# Relative energy among the computed polymorphs in meV/atom: 62
# Calculated formation energy in eV/atom: 0.839
data_KScRe
_chemical_formula_sum 'K2 Sc2 Re2'
_symmetry_space_group_name_H-M 'I 4 m m'
_symmetry_Int_Tables_number 107
_symmetry_space_group_name_Hall 'I 4 -2'
_cell_length_a 3.117
_cell_length_b 3.117
_cell_length_c 16.163
_cell_angle_alpha 90.00
_cell_angle_beta 90.00
_cell_angle_gamma 90.00
loop_
_atom_site_label
_atom_site_fract_x
_atom_site_fract_y
_atom_site_fract_z
K1 0.000 0.000 0.000
Sc1 0.000 0.000 0.269
Re1 0.000 0.000 0.668



# K2ScRe PBE relaxed
# Relative energy among the computed polymorphs in meV/atom: 1091
# Calculated formation energy in eV/atom: 1.801
data_K2ScRe
_chemical_formula_sum 'K8 Sc4 Re4'
_symmetry_space_group_name_H-M 'F m -3 m'
_symmetry_Int_Tables_number 225
_symmetry_space_group_name_Hall '-F 4 2 3'
_cell_length_a 7.867
_cell_length_b 7.867
_cell_length_c 7.867
_cell_angle_alpha 90.00
_cell_angle_beta 90.00
_cell_angle_gamma 90.00
loop_
_atom_site_label
_atom_site_fract_x
_atom_site_fract_y
_atom_site_fract_z
K1 0.250 0.250 0.250
Sc1 0.000 0.000 0.000
Re1 0.000 0.000 0.500



# KScRe2 PBE relaxed
# Relative energy among the computed polymorphs in meV/atom: 737
# Calculated formation energy in eV/atom: 1.197
data_KScRe2
_chemical_formula_sum 'K2 Sc2 Re4'
_symmetry_space_group_name_H-M 'I 4/m m m'
_symmetry_Int_Tables_number 139
_symmetry_space_group_name_Hall '-I 4 2'
_cell_length_a 3.807
_cell_length_b 3.807
_cell_length_c 10.175
_cell_angle_alpha 90.00
_cell_angle_beta 90.00
_cell_angle_gamma 90.00
loop_
_atom_site_label
_atom_site_fract_x
_atom_site_fract_y
_atom_site_fract_z
K1 0.000 0.000 0.000
Sc1 0.000 0.000 0.500
Re1 0.000 0.500 0.250



# K2ScRe PBE relaxed
# Relative energy among the computed polymorphs in meV/atom: 618
# Calculated formation energy in eV/atom: 1.329
data_K2ScRe
_chemical_formula_sum 'K8 Sc4 Re4'
_symmetry_space_group_name_H-M 'I -4 2 d'
_symmetry_Int_Tables_number 122
_symmetry_space_group_name_Hall 'I -4 2bw'
_cell_length_a 4.057
_cell_length_b 4.057
_cell_length_c 25.380
_cell_angle_alpha 90.00
_cell_angle_beta 90.00
_cell_angle_gamma 90.00
loop_
_atom_site_label
_atom_site_fract_x
_atom_site_fract_y
_atom_site_fract_z
K1 0.247 0.250 0.125
Sc1 0.000 0.000 0.500
Re1 0.000 0.000 0.000



# KSc2Re PBE relaxed
# Relative energy among the computed polymorphs in meV/atom: 246
# Calculated formation energy in eV/atom: 0.401
data_KSc2Re
_chemical_formula_sum 'K3 Sc6 Re3'
_symmetry_space_group_name_H-M 'R -3 m'
_symmetry_Int_Tables_number 166
_symmetry_space_group_name_Hall '-R 3 2"'
_cell_length_a 3.3096
_cell_length_b 3.3096
_cell_length_c 32.9421
_cell_angle_alpha 90.00
_cell_angle_beta 90.00
_cell_angle_gamma 120.00
loop_
_atom_site_label
_atom_site_fract_x
_atom_site_fract_y
_atom_site_fract_z
K1 0.0000 0.0000 0.0000
Sc1 0.0000 0.0000 0.1083
Re1 0.0000 0.0000 0.5000



# KScReW2 PBE relaxed
# Calculated formation energy in eV/atom: 1.899
data_KScReW2
_chemical_formula_sum 'K1 Sc1 Re1 W2'
_symmetry_space_group_name_H-M 'P 4/m m m'
_symmetry_Int_Tables_number 123
_symmetry_space_group_name_Hall '-P 4 2'
_cell_length_a 4.811
_cell_length_b 4.811
_cell_length_c 5.446
_cell_angle_alpha 90.00
_cell_angle_beta 90.00
_cell_angle_gamma 90.00
loop_
_atom_site_label
_atom_site_fract_x
_atom_site_fract_y
_atom_site_fract_z
K1 0.000 0.000 0.000
Sc1 0.500 0.500 0.000
Re1 0.000 0.000 0.500
W1 0.000 0.500 0.500



# KRe4Se8 PBE relaxed
# Raw formation energy in eV per atom: -0.463
data_KRe4Se8
_chemical_formula_sum 'K1 Re4 Se8'
_symmetry_space_group_name_H-M 'P 1'
_symmetry_Int_Tables_number 1
_cell_length_a 6.778
_cell_length_b 6.859
_cell_length_c 8.649
_cell_angle_alpha 74.25
_cell_angle_beta 77.99
_cell_angle_gamma 61.59
loop_
_symmetry_equiv_pos_as_xyz
'x,y,z'
loop_
_atom_site_label
_atom_site_fract_x
_atom_site_fract_y
_atom_site_fract_z
K1 0.000 0.000 0.000
Re1 0.445 0.389 0.490
Re2 0.472 0.786 0.502
Re3 0.869 0.377 0.498
Re4 0.898 0.775 0.512
Se1 0.101 0.026 0.356
Se2 0.122 0.540 0.308
Se3 0.221 0.623 0.694
Se4 0.242 0.137 0.644
Se5 0.612 0.065 0.326
Se6 0.625 0.586 0.271
Se7 0.717 0.578 0.730
Se8 0.729 0.098 0.676



# K2ReSe PBE relaxed
# Raw formation energy in eV per atom: 0.854
data_K2ReSe
_chemical_formula_sum 'K2 Re1 Se1'
_symmetry_space_group_name_H-M 'P 1 2/m 1'
_symmetry_Int_Tables_number 10
_cell_length_a 2.844
_cell_length_b 5.353
_cell_length_c 6.096
_cell_angle_alpha 90.00
_cell_angle_beta 90.07
_cell_angle_gamma 90.00
loop_
_symmetry_equiv_pos_as_xyz
'x,y,z'
'-x,-y,-z'
'-x,y,-z'
'x,-y,z'
loop_
_atom_site_label
_atom_site_fract_x
_atom_site_fract_y
_atom_site_fract_z
K1 0.000 0.000 0.245
Re1 0.500 0.500 0.500
Se1 0.500 0.500 0.000



# K2Re3Se6 PBE relaxed
# Raw formation energy in eV per atom: -0.676
data_K2Re3Se6
_chemical_formula_sum 'K16 Re24 Se48'
_symmetry_space_group_name_H-M 'C 1 2/c 1'
_symmetry_Int_Tables_number 15
_cell_length_a 17.469
_cell_length_b 10.229
_cell_length_c 12.504
_cell_angle_alpha 90.00
_cell_angle_beta 91.65
_cell_angle_gamma 90.00
loop_
_symmetry_equiv_pos_as_xyz
'x,y,z'
'-x,-y,-z'
'-x,y,-z+1/2'
'x,-y,z+1/2'
'x+1/2,y+1/2,z'
'-x+1/2,-y+1/2,-z'
'-x+1/2,y+1/2,-z+1/2'
'x+1/2,-y+1/2,z+1/2'
loop_
_atom_site_label
_atom_site_fract_x
_atom_site_fract_y
_atom_site_fract_z
K1 0.000 0.104 0.250
K2 0.000 0.284 0.750
K3 0.114 0.262 0.016
Re1 0.159 0.344 0.475
Re2 0.209 0.109 0.418
Re3 0.209 0.178 0.625
Se1 0.032 0.464 0.419
Se2 0.084 0.135 0.518
Se3 0.148 0.086 0.803
Se4 0.163 0.408 0.671
Se5 0.164 0.277 0.279
Se6 0.243 0.457 0.932



# KRe2Se PBE relaxed
# Raw formation energy in eV per atom: 1.271
data_KRe2Se
_chemical_formula_sum 'K2 Re4 Se2'
_symmetry_space_group_name_H-M 'C m m m'
_symmetry_Int_Tables_number 65
_symmetry_space_group_name_Hall '-C 2 2'
_cell_length_a 3.070
_cell_length_b 4.613
_cell_length_c 10.511
_cell_angle_alpha 90.00
_cell_angle_beta 90.00
_cell_angle_gamma 90.00
loop_
_atom_site_label
_atom_site_fract_x
_atom_site_fract_y
_atom_site_fract_z
K1 0.000 0.000 0.000
Re1 0.000 0.500 0.285
Se1 0.000 0.000 0.500



# KRe2Se PBE relaxed
# Raw formation energy in eV per atom: 1.109
data_KRe2Se
_chemical_formula_sum 'K2 Re4 Se2'
_symmetry_space_group_name_H-M 'C 1 2/m 1'
_symmetry_Int_Tables_number 12
_cell_length_a 5.591
_cell_length_b 11.488
_cell_length_c 2.660
_cell_angle_alpha 90.00
_cell_angle_beta 116.13
_cell_angle_gamma 90.00
loop_
_symmetry_equiv_pos_as_xyz
'x,y,z'
'-x,-y,-z'
'-x,y,-z'
'x,-y,z'
'x+1/2,y+1/2,z'
'-x+1/2,-y+1/2,-z'
'-x+1/2,y+1/2,-z'
'x+1/2,-y+1/2,z'
loop_
_atom_site_label
_atom_site_fract_x
_atom_site_fract_y
_atom_site_fract_z
K1 0.000 0.000 0.000
Re1 0.250 0.250 0.000
Se1 0.000 0.500 0.000